# CaCu2Ir (GGA-PBE, relaxed)
data_CaCu2Ir
_chemical_formula_sum 'Ca2 Cu4 Ir2'
_symmetry_space_group_name_H-M 'C 1 2/m 1'
_symmetry_Int_Tables_number 12
_symmetry_space_group_name_Hall '-C 2y'
_cell_length_a 7.383
_cell_length_b 4.258
_cell_length_c 5.362
_cell_angle_alpha 90.00
_cell_angle_beta 117.45
_cell_angle_gamma 90.00
loop_
_atom_site_label
_atom_site_type_symbol
_atom_site_fract_x
_atom_site_fract_y
_atom_site_fract_z
Ca1 Ca 0.000 0.000 0.000
Cu1 Cu 0.197 0.000 0.591
Ir1 Ir 0.000 0.500 0.500
# - D(E_F): 0.405 states/eV/atom
# - Magnetization: 0.00 μB per atom
# - Raw total energy: -4.86 eV per atom
# - Calculated formation energy: -92 meV per atom
# - Calculated density: 7979 kg/m³


# CaCuIr4 (GGA-PBE, relaxed)
data_CaCuIr4
_chemical_formula_sum 'Ca4 Cu4 Ir16'
_symmetry_space_group_name_H-M 'F -4 3 m'
_symmetry_Int_Tables_number 216
_symmetry_space_group_name_Hall 'F -4 2 3'
_cell_length_a 7.424
_cell_length_b 7.424
_cell_length_c 7.424
_cell_angle_alpha 90.00
_cell_angle_beta 90.00
_cell_angle_gamma 90.00
loop_
_atom_site_label
_atom_site_type_symbol
_atom_site_fract_x
_atom_site_fract_y
_atom_site_fract_z
Ca1 Ca 0.000 0.000 0.000
Cu1 Cu 0.250 0.250 0.750
Ir1 Ir 0.125 0.125 0.375
# - D(E_F): 1.694 states/eV/atom
# - Magnetization: 0.00 μB per atom
# - Raw total energy: -6.86 eV per atom
# - Calculated formation energy: 67 meV per atom
# - Calculated density: 14165 kg/m³